DFT (PBE) results for an optimized crystal structure of GaGeBr.

Results
Energy relative to the lowest polymorph listed for this composition (eV/atom): 0.097
E_form (uncorrected) (kJ per mole of atoms): -28.0

abc: 16.5863 16.5863 6.2550
angles: 90.00 90.00 120.00
Closest atoms and distances in Å follow each position.
Space group R-3 (No. 148, hexagonal axes)
Inequivalent atoms, fractional coordinates:
Ga 0.0875 0.5486 0.1984 [18 per cell]  2 Ge 2.52-2.53, 2 Br 2.58-2.62
Ge 0.0014 0.2840 0.6142 [18 per cell]  2 Ga 2.52-2.53, 2 Ge 2.53
Br 0.0144 0.1379 0.2331 [18 per cell]  2 Ga 2.58-2.62

=====

DFT (PBE) results for an optimized crystal structure of Ga2GeBr6.

Results
Energy relative to the lowest polymorph listed for this composition (eV/atom): 0.104
E_form (uncorrected) (kJ per mole of atoms): -55.6

abc: 13.8827 13.2825 8.8505
angles: 90.00 115.48 90.00
Closest atoms and distances in Å follow each position.
Space group C2/c (No. 15)
Inequivalent atoms, fractional coordinates:
Ga 0.1903 0.0848 0.2656 [8 per cell]  4 Br 2.51-2.66
Ge 0.0000 0.3973 0.2500 [4 per cell]  2 Br 2.56
Br 0.1105 0.3983 0.6107 [8 per cell]  1 Ga 2.51
Br 0.1347 0.2778 0.2185 [8 per cell]  1 Ge 2.56, 1 Ga 2.66
Br 0.1431 0.0033 0.9789 [8 per cell]  2 Ga 2.53-2.57

=====

DFT (PBE) results for an optimized crystal structure of GaGeHBr2.

Results
Energy (eV per atom): -3.03

abc: 5.6196 5.6196 3.7031
angles: 90.00 90.00 90.00
Closest atoms and distances in Å follow each position.
Space group P4/mmm (No. 123)
Inequivalent atoms, fractional coordinates:
Ga 0.0000 0.0000 0.0000 [1 per cell]  8 Br 3.37, 2 Ga 3.70
Ge 0.5000 0.5000 0.5000 [1 per cell]  2 H 1.85
H 0.5000 0.5000 0.0000 [1 per cell]  2 Ge 1.85
Br 0.0000 0.5000 0.5000 [2 per cell]  2 Ge 2.81

=====

DFT (PBE) results for an optimized crystal structure of GaHgGe2Br.

Results
E_form (uncorrected) (kJ per mole of atoms): 75.1

abc: 5.2192 5.2192 6.2236
angles: 90.00 90.00 90.00
Closest atoms and distances in Å follow each position.
Space group P4/mmm (No. 123)
Inequivalent atoms, fractional coordinates:
Ga 0.0000 0.0000 0.0000 [1 per cell]  4 Hg 3.69, 8 Ge 4.06
Hg 0.5000 0.5000 0.0000 [1 per cell]  2 Br 3.11
Ge 0.0000 0.5000 0.5000 [2 per cell]  2 Br 2.61
Br 0.5000 0.5000 0.5000 [1 per cell]  4 Ge 2.61

=====

DFT (PBE) results for an optimized crystal structure of K2GaGeBr5.

Results
E_form (uncorrected) (kJ per mole of atoms): -101.8

abc: 4.3537 18.9786 15.2932
angles: 90.00 90.00 90.00
Closest atoms and distances in Å follow each position.
Space group Cmc2_1 (No. 36)
Inequivalent atoms, fractional coordinates:
K 0.0000 0.0805 0.0000 [4 per cell]  6 Br 3.24-3.41
K 0.0000 0.1337 0.6524 [4 per cell]  8 Br 3.36-3.71
Ga 0.0000 0.4521 0.8020 [4 per cell]  5 Br 2.94-3.29
Ge 0.0000 0.2317 0.3874 [4 per cell]  6 Br 2.77-2.94
Br 0.0000 0.0898 0.4289 [4 per cell]  1 Ge 2.77, 2 Ga 3.02
Br 0.0000 0.2530 0.0152 [4 per cell]  2 Ge 2.94, 1 K 3.28
Br 0.0000 0.2909 0.7663 [4 per cell]  2 Ge 2.89, 1 Ga 3.11
Br 0.0000 0.3775 0.3410 [4 per cell]  1 Ge 2.86
Br 0.0000 0.4987 0.1198 [4 per cell]  1 Ga 2.94, 2 K 3.24

=====

DFT (PBE) results for an optimized crystal structure of La8GaGe3Br4.

Results
E_form (uncorrected) (kJ per mole of atoms): -112.4

abc: 8.8965 8.8965 21.6844
angles: 90.00 90.00 120.00
Closest atoms and distances in Å follow each position.
Space group R-3m (No. 166, hexagonal axes)
Inequivalent atoms, fractional coordinates:
La 0.0000 0.0000 0.2405 [6 per cell]  3 Ge 3.03, 3 Br 3.26
La 0.9999 0.4999 0.2411 [18 per cell]  2 Ge 3.03, 1 Ga 3.03, 3 Br 3.25-3.26
Ga 0.0000 0.0000 0.5000 [3 per cell]  6 La 3.03
Ge 0.0000 0.5000 0.5000 [9 per cell]  6 La 3.03
Br 0.0000 0.0000 0.0000 [3 per cell]  6 La 3.25
Br 0.0000 0.5000 0.0000 [9 per cell]  6 La 3.26

=====

DFT (PBE) results for an optimized crystal structure of La6GaGe2Br3.

Results
E_form (uncorrected) (kJ per mole of atoms): -110.0

abc: 19.3327 4.4483 8.8544
angles: 90.00 102.69 90.00
Closest atoms and distances in Å follow each position.
Space group C2/m (No. 12)
Inequivalent atoms, fractional coordinates:
La 0.0058 0.0000 0.2377 [4 per cell]  1 Ge 3.05, 2 Ga 3.05, 3 Br 3.24-3.26
La 0.1613 0.5000 0.0979 [4 per cell]  2 Ge 3.04, 1 Ga 3.05, 3 Br 3.24-3.26
La 0.1730 0.5000 0.5677 [4 per cell]  3 Ge 3.02, 3 Br 3.25-3.27
Ga 0.0000 0.5000 0.0000 [2 per cell]  6 La 3.05
Ge 0.1671 0.0000 0.3337 [4 per cell]  6 La 3.02-3.05
Br 0.0000 0.5000 0.5000 [2 per cell]  6 La 3.24-3.27
Br 0.1669 0.0000 0.8321 [4 per cell]  6 La 3.24-3.26

=====

DFT (PBE) results for an optimized crystal structure of Nd8Ga3GeBr4.

Results
E_form (uncorrected) (kJ per mole of atoms): -92.9

abc: 8.6575 8.6575 21.5221
angles: 90.00 90.00 120.00
Closest atoms and distances in Å follow each position.
Space group R-3m (No. 166, hexagonal axes)
Inequivalent atoms, fractional coordinates:
Nd 0.0000 0.0000 0.2421 [6 per cell]  3 Ga 2.98, 3 Br 3.18
Nd 0.0012 0.5006 0.2407 [18 per cell]  1 Ge 2.96, 2 Ga 2.97, 3 Br 3.19-3.20
Ga 0.0000 0.5000 0.5000 [9 per cell]  6 Nd 2.97-2.98
Ge 0.0000 0.0000 0.5000 [3 per cell]  6 Nd 2.96
Br 0.0000 0.0000 0.0000 [3 per cell]  6 Nd 3.20
Br 0.0000 0.5000 0.0000 [9 per cell]  6 Nd 3.18-3.19

=====

DFT (PBE) results for an optimized crystal structure of Nd6GaGe2Br3.

Results
E_form (uncorrected) (kJ per mole of atoms): -103.1

abc: 19.1156 4.3161 8.7864
angles: 90.00 104.36 90.00
Closest atoms and distances in Å follow each position.
Space group C2/m (No. 12)
Inequivalent atoms, fractional coordinates:
Nd 0.0067 0.0000 0.2337 [4 per cell]  2 Ga 2.96, 1 Ge 2.96, 3 Br 3.21-3.24
Nd 0.1591 0.5000 0.1011 [4 per cell]  2 Ge 2.95, 1 Ga 2.95, 3 Br 3.22-3.23
Nd 0.1748 0.5000 0.5642 [4 per cell]  3 Ge 2.94, 3 Br 3.22-3.25
Ga 0.0000 0.5000 0.0000 [2 per cell]  6 Nd 2.95-2.96
Ge 0.1667 0.0000 0.3334 [4 per cell]  6 Nd 2.94-2.96
Br 0.0000 0.5000 0.5000 [2 per cell]  6 Nd 3.21-3.25
Br 0.1676 0.0000 0.8325 [4 per cell]  6 Nd 3.22-3.24

=====

DFT (PBE) results for an optimized crystal structure of Pm4GaGeBr2.

Results
E_form (uncorrected) (kJ per mole of atoms): -98.6

abc: 7.4792 4.2879 7.5475
angles: 90.00 109.20 90.00
Closest atoms and distances in Å follow each position.
Space group P2/m (No. 10)
Inequivalent atoms, fractional coordinates:
Pm 0.2398 0.0000 0.2169 [2 per cell]  2 Ge 2.93, 1 Ga 2.93, 3 Br 3.20-3.21
Pm 0.2598 0.5000 0.7805 [2 per cell]  2 Ga 2.93, 1 Ge 2.94, 3 Br 3.19-3.20
Ga 0.5000 0.0000 0.0000 [1 per cell]  6 Pm 2.93
Ge 0.0000 0.5000 0.0000 [1 per cell]  6 Pm 2.93-2.94
Br 0.0000 0.0000 0.5000 [1 per cell]  6 Pm 3.19-3.21
Br 0.5000 0.5000 0.5000 [1 per cell]  6 Pm 3.20

=====

DFT (PBE) results for an optimized crystal structure of Pr6GaGe2Br3.

Results
E_form (uncorrected) (kJ per mole of atoms): -103.8

abc: 19.2737 4.3461 8.8631
angles: 90.00 104.45 90.00
Closest atoms and distances in Å follow each position.
Space group C2/m (No. 12)
Inequivalent atoms, fractional coordinates:
Pr 0.0066 0.0000 0.2344 [4 per cell]  2 Ga 2.99, 1 Ge 2.99, 3 Br 3.23-3.26
Pr 0.1594 0.5000 0.1012 [4 per cell]  2 Ge 2.97, 1 Ga 2.98, 3 Br 3.24-3.25
Pr 0.1747 0.5000 0.5648 [4 per cell]  3 Ge 2.96-2.97, 3 Br 3.25-3.27
Ga 0.0000 0.5000 0.0000 [2 per cell]  6 Pr 2.98-2.99
Ge 0.1666 0.0000 0.3337 [4 per cell]  6 Pr 2.96-2.99
Br 0.0000 0.5000 0.5000 [2 per cell]  6 Pr 3.23-3.27
Br 0.1676 0.0000 0.8330 [4 per cell]  6 Pr 3.24-3.26

=====

DFT (PBE) results for an optimized crystal structure of Pr8Ga3GeBr4.

Results
E_form (uncorrected) (kJ per mole of atoms): -93.7

abc: 8.7248 8.7248 21.7000
angles: 90.00 90.00 120.00
Closest atoms and distances in Å follow each position.
Space group R-3m (No. 166, hexagonal axes)
Inequivalent atoms, fractional coordinates:
Pr 0.0000 0.0000 0.2424 [6 per cell]  3 Ga 3.01, 3 Br 3.20
Pr 0.0014 0.5007 0.2410 [18 per cell]  1 Ge 2.98, 2 Ga 3.00, 3 Br 3.21-3.23
Ga 0.0000 0.5000 0.5000 [9 per cell]  6 Pr 3.00-3.01
Ge 0.0000 0.0000 0.5000 [3 per cell]  6 Pr 2.98
Br 0.0000 0.0000 0.0000 [3 per cell]  6 Pr 3.23
Br 0.0000 0.5000 0.0000 [9 per cell]  6 Pr 3.20-3.21